DFT (PBE) results for a relaxed ZrScGa3 crystal.

a b c (Å): 4.223 3.401 13.012
angles (deg): 97.51 90.00 90.00
Element x y z (fractional)
1 Zr 0.250 0.787 0.575
2 Zr 0.750 0.213 0.425
3 Sc 0.250 0.074 0.148
4 Sc 0.750 0.926 0.852
5 Ga 0.250 0.379 0.759
6 Ga 0.750 0.621 0.241
7 Ga 0.250 0.475 0.951
8 Ga 0.750 0.525 0.049
9 Ga 0.750 0.323 0.647
10 Ga 0.250 0.677 0.353

- E_form (eV per atom) = -0.5575
- space group = Cmcm
- energy above the most stable polymorph in this dataset (eV per atom) = 0.000

DFT (PBE) results for a relaxed ZrScGa crystal.

a b c (Å): 9.143 5.641 9.738
angles (deg): 90.00 90.00 90.00
Element x y z (fractional)
1 Sc 0.000 0.000 0.156
2 Sc 0.000 0.000 0.844
3 Sc 0.000 0.500 0.656
4 Sc 0.000 0.500 0.344
5 Sc 0.500 0.000 0.656
6 Sc 0.500 0.000 0.344
7 Sc 0.500 0.500 0.156
8 Sc 0.500 0.500 0.844
9 Ga 0.250 0.250 0.250
10 Ga 0.250 0.750 0.750
11 Ga 0.750 0.250 0.750
12 Ga 0.750 0.750 0.250
13 Ga 0.750 0.750 0.750
14 Ga 0.750 0.250 0.250
15 Ga 0.250 0.750 0.250
16 Ga 0.250 0.250 0.750
17 Zr 0.335 0.000 0.000
18 Zr 0.665 0.000 0.000
19 Zr 0.335 0.500 0.500
20 Zr 0.665 0.500 0.500
21 Zr 0.835 0.000 0.500
22 Zr 0.165 0.000 0.500
23 Zr 0.835 0.500 0.000
24 Zr 0.165 0.500 0.000

- E_form (eV per atom) = -0.4150
- space group = Fmmm
- energy above the most stable polymorph in this dataset (eV per atom) = 0.017

> Number 2 is which compound?

ZrScGa

> Which formula does entry 2 have?

ZrScGa